Model 1:
# La5NdMg

A geometry-optimized La5NdMg structure (GGA-PBE, the Alexandria database).

## Properties
**Density**: 5.7 g/cm³
**SG**: C2/c (15)

a b c (Å): 8.3368 8.3368 11.2425
angles (deg): 54.23 54.23 77.19
Last column: nearest neighbours and their distance in Å.
Fractional coordinates of all 14 atoms:
La: 0.5026 0.0390 0.7317  2 La 3.27-3.46, 2 Mg 3.38-3.44, 1 Nd 3.41
La: 0.6461 0.6654 0.0357  4 La 3.23-3.59
La: 0.3539 0.3346 0.9643  4 La 3.23-3.59
La: 0.8182 0.1818 0.7500  6 La 3.27-3.59, 2 Mg 3.39
La: 0.1818 0.8182 0.2500  6 La 3.27-3.59, 2 Mg 3.39
La: 0.4974 0.9610 0.2683  2 La 3.27-3.46, 2 Mg 3.38-3.44, 1 Nd 3.41
La: 0.9610 0.4974 0.7683  2 La 3.27-3.46, 2 Mg 3.38-3.44, 1 Nd 3.41
La: 0.0390 0.5026 0.2317  2 La 3.27-3.46, 2 Mg 3.38-3.44, 1 Nd 3.41
La: 0.6654 0.6461 0.5357  4 La 3.23-3.59
La: 0.3346 0.3539 0.4643  4 La 3.23-3.59
Nd: 0.8094 0.1906 0.2500  6 La 3.41-3.69, 2 Mg 3.44
Nd: 0.1906 0.8094 0.7500  6 La 3.41-3.69, 2 Mg 3.44
Mg: 0.0000 0.0000 0.5000  6 La 3.38-3.44, 2 Nd 3.44
Mg: 0.0000 0.0000 0.0000  6 La 3.38-3.44, 2 Nd 3.44

=====

Model 2:
# La5NdMg

A geometry-optimized La5NdMg structure (GGA-PBE, the Alexandria database).

## Properties
**Density**: 5.8 g/cm³
**SG**: C2/c (15)

a b c (Å): 10.0012 6.7113 11.8234
angles (deg): 76.28 90.00 138.17
Last column: nearest neighbours and their distance in Å.
Fractional coordinates of all 14 atoms:
La: 0.9641 0.5839 0.8352  6 La 3.55-3.88, 2 Nd 3.58-3.65, 1 Mg 3.58
La: 0.5378 0.7650 0.0237  4 La 3.24-3.57, 2 Nd 3.48-3.49, 1 Mg 3.59
La: 0.0359 0.4161 0.1648  6 La 3.55-3.88, 2 Nd 3.58-3.65, 1 Mg 3.58
La: 0.1546 0.0000 0.2500  2 Mg 3.34, 8 La 3.52-3.72, 1 Nd 3.63
La: 0.8454 0.0000 0.7500  2 Mg 3.34, 8 La 3.52-3.72, 1 Nd 3.63
La: 0.2272 0.7650 0.5237  4 La 3.24-3.57, 2 Nd 3.48-3.49, 1 Mg 3.59
La: 0.7728 0.2350 0.4763  4 La 3.24-3.57, 2 Nd 3.48-3.49, 1 Mg 3.59
La: 0.3802 0.4161 0.6648  6 La 3.55-3.88, 2 Nd 3.58-3.65, 1 Mg 3.58
La: 0.4622 0.2350 0.9763  4 La 3.24-3.57, 2 Nd 3.48-3.49, 1 Mg 3.59
La: 0.6198 0.5839 0.3352  6 La 3.55-3.88, 2 Nd 3.58-3.65, 1 Mg 3.58
Nd: 0.5173 0.0000 0.2500  9 La 3.48-3.65
Nd: 0.4827 0.0000 0.7500  9 La 3.48-3.65
Mg: 0.0000 0.0000 0.5000  6 La 3.34-3.59
Mg: 0.0000 0.0000 0.0000  6 La 3.34-3.59

=====

Most stable pick: model 2. Distance to second place: 79 meV/atom.

=====

Model 1:
# La2Nd4Mg

A geometry-optimized La2Nd4Mg structure (GGA-PBE, the Alexandria database).

## Properties
**Density**: 5.5 g/cm³
**SG**: P-42m (111)

a b c (Å): 4.8049 4.8049 11.4930
angles (deg): 90.00 90.00 90.00
Last column: nearest neighbours and their distance in Å.
Fractional coordinates of all 7 atoms:
Nd: 0.7401 0.2599 0.7671  1 Mg 3.21, 4 Nd 3.26-3.53, 2 La 3.51
Nd: 0.2599 0.2599 0.2329  1 Mg 3.21, 4 Nd 3.26-3.53, 2 La 3.51
Nd: 0.7401 0.7401 0.2329  1 Mg 3.21, 4 Nd 3.26-3.53, 2 La 3.51
Nd: 0.2599 0.7401 0.7671  1 Mg 3.21, 4 Nd 3.26-3.53, 2 La 3.51
Mg: 0.0000 0.0000 0.0000  4 Nd 3.21
La: 0.0000 0.5000 0.5000  4 La 3.40, 4 Nd 3.51
La: 0.5000 0.0000 0.5000  4 La 3.40, 4 Nd 3.51

=====

Model 2:
# La2Nd4Mg

A geometry-optimized La2Nd4Mg structure (GGA-PBE, the Alexandria database).

## Properties
**Density**: 6.1 g/cm³
**SG**: P2_1/m (11)

a b c (Å): 6.1632 6.7611 11.9218
angles (deg): 90.00 105.23 90.00
Last column: nearest neighbours and their distance in Å.
Fractional coordinates of all 14 atoms:
Nd: 0.1445 0.7500 0.4411  1 Mg 3.27, 4 La 3.38-3.50, 4 Nd 3.58-3.62
Nd: 0.9929 0.2500 0.1227  3 La 3.32-3.63, 3 Mg 3.34-3.51, 2 Nd 3.64
Nd: 0.3550 0.0004 0.7171  5 Nd 3.37-3.64, 1 Mg 3.45, 4 La 3.60-3.77
Nd: 0.8555 0.2500 0.5589  1 Mg 3.27, 4 La 3.38-3.50, 4 Nd 3.58-3.62
Nd: 0.6450 0.9996 0.2829  5 Nd 3.37-3.64, 1 Mg 3.45, 4 La 3.60-3.77
Nd: 0.0071 0.7500 0.8773  3 La 3.32-3.63, 3 Mg 3.34-3.51, 2 Nd 3.64
Nd: 0.6450 0.5004 0.2829  5 Nd 3.37-3.64, 1 Mg 3.45, 4 La 3.60-3.77
Nd: 0.3550 0.4996 0.7171  5 Nd 3.37-3.64, 1 Mg 3.45, 4 La 3.60-3.77
Mg: 0.1475 0.7500 0.1675  6 Nd 3.27-3.51, 1 La 3.46
Mg: 0.8525 0.2500 0.8325  6 Nd 3.27-3.51, 1 La 3.46
La: 0.7167 0.7500 0.5701  9 Nd 3.38-3.74
La: 0.2833 0.2500 0.4299  9 Nd 3.38-3.74
La: 0.4093 0.2500 0.9938  4 Nd 3.32-3.64, 1 Mg 3.46, 2 La 3.55
La: 0.5907 0.7500 0.0062  4 Nd 3.32-3.64, 1 Mg 3.46, 2 La 3.55

=====

Most stable pick: model 2. Distance to second place: 427 meV/atom.

=====

Model 1:
# La6NdMg2

A geometry-optimized La6NdMg2 structure (GGA-PBE, the Alexandria database).

## Properties
**Density**: 5.6 g/cm³
**SG**: C2/c (15)

a b c (Å): 6.1906 10.2473 10.2473
angles (deg): 71.21 83.04 83.04
Last column: nearest neighbours and their distance in Å.
Fractional coordinates of all 18 atoms:
Nd: 0.7500 0.8581 0.1419  8 La 3.41-3.67
Nd: 0.2500 0.1419 0.8581  8 La 3.41-3.67
Mg: 0.0904 0.2055 0.4750  10 La 3.40-3.74
Mg: 0.5904 0.4750 0.2055  10 La 3.40-3.74
Mg: 0.9096 0.7945 0.5250  10 La 3.40-3.74
Mg: 0.4096 0.5250 0.7945  10 La 3.40-3.74
La: 0.4728 0.6753 0.4410  5 La 3.39-3.68, 4 Mg 3.40-3.65, 1 Nd 3.41
La: 0.1503 0.3567 0.1113  5 La 3.43-3.68, 4 Mg 3.45-3.65
La: 0.5272 0.3247 0.5590  5 La 3.39-3.68, 4 Mg 3.40-3.65, 1 Nd 3.41
La: 0.0272 0.5590 0.3247  5 La 3.39-3.68, 4 Mg 3.40-3.65, 1 Nd 3.41
La: 0.1973 0.9986 0.2292  5 La 3.46-3.75, 2 Mg 3.50-3.74, 3 Nd 3.60-3.67
La: 0.3027 0.7708 0.0014  5 La 3.46-3.75, 2 Mg 3.50-3.74, 3 Nd 3.60-3.67
La: 0.6973 0.2292 0.9986  5 La 3.46-3.75, 2 Mg 3.50-3.74, 3 Nd 3.60-3.67
La: 0.6503 0.1113 0.3567  5 La 3.43-3.68, 4 Mg 3.45-3.65
La: 0.8027 0.0014 0.7708  5 La 3.46-3.75, 2 Mg 3.50-3.74, 3 Nd 3.60-3.67
La: 0.9728 0.4410 0.6753  5 La 3.39-3.68, 4 Mg 3.40-3.65, 1 Nd 3.41
La: 0.8497 0.6433 0.8887  5 La 3.43-3.68, 4 Mg 3.45-3.65
La: 0.3497 0.8887 0.6433  5 La 3.43-3.68, 4 Mg 3.45-3.65

=====

Model 2:
# La6NdMg2

A geometry-optimized La6NdMg2 structure (GGA-PBE, the Alexandria database).

## Properties
**Density**: 5.5 g/cm³
**SG**: C2/m (12)

a b c (Å): 5.6843 6.8820 9.1635
angles (deg): 82.93 71.93 65.61
Last column: nearest neighbours and their distance in Å.
Fractional coordinates of all 9 atoms:
La: 0.8913 0.2843 0.9331  3 Mg 3.44-3.45, 3 La 3.74-3.76
La: 0.2583 0.9024 0.5810  2 Mg 3.30-3.39, 4 La 3.40-3.51
La: 0.7417 0.0976 0.4190  2 Mg 3.30-3.39, 4 La 3.40-3.51
La: 0.3534 0.1107 0.1824  1 Mg 3.41, 6 La 3.46-3.74, 1 Nd 3.68
La: 0.1087 0.7157 0.0669  3 Mg 3.44-3.45, 3 La 3.74-3.76
La: 0.6466 0.8893 0.8176  1 Mg 3.41, 6 La 3.46-3.74, 1 Nd 3.68
Mg: 0.5764 0.5796 0.2676  6 La 3.30-3.45, 2 Nd 3.53
Mg: 0.4236 0.4204 0.7324  6 La 3.30-3.45, 2 Nd 3.53
Nd: 0.0000 0.5000 0.5000  4 Mg 3.53, 8 La 3.68-3.86

=====

Most stable pick: model 2. Distance to second place: 31 meV/atom.

=====

Model 1:
# La5Nd2Mg

A geometry-optimized La5Nd2Mg structure (GGA-PBE, the Alexandria database).

## Properties
**Density**: 6.1 g/cm³
**SG**: I4mm (107)

a b c (Å): 7.3265 7.3265 7.2992
angles (deg): 120.08 120.12 90.00
Last column: nearest neighbours and their distance in Å.
Fractional coordinates of all 8 atoms:
La: 0.2224 0.7215 0.9439  4 Nd 3.65, 6 La 3.65-3.67, 2 Mg 3.65
La: 0.7216 0.2225 0.9441  2 Mg 3.65, 4 Nd 3.65, 6 La 3.65-3.67
La: 0.7215 0.7215 0.9439  4 Nd 3.65, 6 La 3.65-3.67, 2 Mg 3.65
La: 0.2225 0.2225 0.9441  2 Mg 3.65, 4 Nd 3.65, 6 La 3.65-3.67
La: 0.7226 0.7226 0.4451  8 La 3.65, 4 Nd 3.66
Nd: 0.2222 0.7223 0.4445  10 La 3.65-3.66, 2 Mg 3.66
Nd: 0.7222 0.2222 0.4445  10 La 3.65-3.66, 2 Mg 3.66
Mg: 0.2219 0.2219 0.4438  8 La 3.65, 4 Nd 3.66

=====

Model 2:
# La5Nd2Mg

A geometry-optimized La5Nd2Mg structure (GGA-PBE, the Alexandria database).

## Properties
**Density**: 6.0 g/cm³
**SG**: Fmm2 (42)

a b c (Å): 7.4251 7.4244 6.9441
angles (deg): 105.40 105.40 120.21
Last column: nearest neighbours and their distance in Å.
Fractional coordinates of all 8 atoms:
La: 0.3346 0.7539 0.0000  4 La 3.46-3.64, 4 Nd 3.60-3.69, 2 Mg 3.67-3.76
La: 0.2348 0.3210 0.5000  6 La 3.64-3.70, 2 Mg 3.64, 4 Nd 3.69-3.74
La: 0.7350 0.8211 0.5003  6 La 3.64-3.70, 2 Mg 3.64, 4 Nd 3.69-3.74
La: 0.8018 0.2209 0.9999  4 La 3.46-3.64, 4 Nd 3.60-3.69, 2 Mg 3.67-3.75
La: 0.3313 0.2244 0.0000  8 La 3.51-3.92, 2 Nd 3.64, 2 Mg 3.70-3.71
Nd: 0.7440 0.3343 0.5223  1 Mg 3.50, 9 La 3.60-3.74, 2 Nd 3.71
Nd: 0.2217 0.8119 0.4776  1 Mg 3.50, 9 La 3.60-3.74, 2 Nd 3.71
Mg: 0.8198 0.7355 0.9999  2 Nd 3.50, 10 La 3.64-3.76

=====

Most stable pick: model 1. Distance to second place: 12 meV/atom.

=====

Model 1:
# La4Nd3Mg

A geometry-optimized La4Nd3Mg structure (GGA-PBE, the Alexandria database).

## Properties
**Density**: 6.1 g/cm³
**SG**: Pmn2_1 (31)

a b c (Å): 7.2080 7.2813 10.4784
angles (deg): 90.00 90.00 90.00
Last column: nearest neighbours and their distance in Å.
Fractional coordinates of all 16 atoms:
Nd: 0.7439 0.5606 0.7502  8 La 3.53-3.69, 2 Mg 3.64, 2 Nd 3.68-3.69
Nd: 0.2561 0.0606 0.2502  8 La 3.53-3.69, 2 Mg 3.64, 2 Nd 3.68-3.69
Nd: 0.7439 0.5606 0.2498  8 La 3.53-3.69, 2 Mg 3.64, 2 Nd 3.68-3.69
Nd: 0.2561 0.0606 0.7498  8 La 3.53-3.69, 2 Mg 3.64, 2 Nd 3.68-3.69
Nd: 0.9996 0.3102 0.0000  8 La 3.60-3.68, 4 Nd 3.68-3.69
Nd: 0.0004 0.8102 0.5000  8 La 3.60-3.68, 4 Nd 3.68-3.69
La: 0.4997 0.8098 0.5000  6 Nd 3.60-3.64, 2 Mg 3.63-3.65, 4 La 3.65
La: 0.7460 0.0606 0.7489  6 Nd 3.53-3.68, 2 Mg 3.64-3.66, 4 La 3.65-3.68
La: 0.7460 0.0606 0.2511  6 Nd 3.53-3.68, 2 Mg 3.64-3.66, 4 La 3.65-3.68
La: 0.0006 0.3113 0.5000  2 Mg 3.60-3.61, 6 Nd 3.63-3.69, 4 La 3.67-3.68
La: 0.2540 0.5606 0.7511  6 Nd 3.53-3.68, 2 Mg 3.64-3.66, 4 La 3.65-3.68
La: 0.9994 0.8113 0.0000  2 Mg 3.60-3.61, 6 Nd 3.63-3.69, 4 La 3.67-3.68
La: 0.2540 0.5606 0.2489  6 Nd 3.53-3.68, 2 Mg 3.64-3.66, 4 La 3.65-3.68
La: 0.5003 0.3098 0.0000  6 Nd 3.60-3.64, 2 Mg 3.63-3.65, 4 La 3.65
Mg: 0.5000 0.3111 0.5000  8 La 3.60-3.66, 4 Nd 3.64
Mg: 0.5000 0.8111 0.0000  8 La 3.60-3.66, 4 Nd 3.64

=====

Model 2:
# La4Nd3Mg

A geometry-optimized La4Nd3Mg structure (GGA-PBE, the Alexandria database).

## Properties
**Density**: 5.8 g/cm³
**SG**: C2/m (12)

a b c (Å): 3.7151 5.4468 14.4435
angles (deg): 92.26 97.39 90.00
Last column: nearest neighbours and their distance in Å.
Fractional coordinates of all 8 atoms:
La: 0.2822 0.2503 0.5644  7 La 3.46-3.83, 5 Nd 3.75-3.84
La: 0.7178 0.7497 0.4356  7 La 3.46-3.83, 5 Nd 3.75-3.84
La: 0.4030 0.2831 0.8059  1 Mg 3.23, 1 La 3.46, 2 Nd 3.51
La: 0.5970 0.7169 0.1941  1 Mg 3.23, 1 La 3.46, 2 Nd 3.51
Nd: 0.8487 0.7728 0.6975  9 La 3.64-3.84, 2 Nd 3.72
Nd: 0.0000 0.5000 0.0000  4 Mg 3.30, 4 La 3.51
Nd: 0.1513 0.2272 0.3025  9 La 3.64-3.84, 2 Nd 3.72
Mg: 0.5000 0.0000 0.0000  2 La 3.23, 4 Nd 3.30

=====

Most stable pick: model 1. Distance to second place: 155 meV/atom.

=====

Model 1:
# LaNd8Mg2

A geometry-optimized LaNd8Mg2 structure (GGA-PBE, the Alexandria database).

## Properties
**Density**: 6.0 g/cm³
**SG**: C2/m (12)

a b c (Å): 5.3824 8.4852 9.1300
angles (deg): 111.24 107.14 90.00
Last column: nearest neighbours and their distance in Å.
Fractional coordinates of all 11 atoms:
Nd: 0.0510 0.7349 0.1021  1 Mg 3.48, 9 Nd 3.59-3.81, 2 La 3.82
Nd: 0.8525 0.7956 0.7050  3 Mg 3.35-3.43, 5 Nd 3.60-3.69, 2 La 3.67
Nd: 0.9490 0.2651 0.8979  1 Mg 3.48, 9 Nd 3.59-3.81, 2 La 3.82
Nd: 0.1475 0.2044 0.2950  3 Mg 3.35-3.43, 5 Nd 3.60-3.69, 2 La 3.67
Nd: 0.5990 0.4686 0.1981  3 Mg 3.42-3.47, 1 La 3.69, 8 Nd 3.69-3.81
Nd: 0.4010 0.5314 0.8019  3 Mg 3.42-3.47, 1 La 3.69, 8 Nd 3.69-3.81
Nd: 0.3137 0.0505 0.6273  1 Mg 3.30, 7 Nd 3.39-3.67, 1 La 3.44
Nd: 0.6863 0.9495 0.3727  1 Mg 3.30, 7 Nd 3.39-3.67, 1 La 3.44
Mg: 0.2257 0.6308 0.4513  8 Nd 3.30-3.48
Mg: 0.7743 0.3692 0.5487  8 Nd 3.30-3.48
La: 0.5000 0.0000 0.0000  12 Nd 3.44-3.82

=====

Model 2:
# LaNd8Mg2

A geometry-optimized LaNd8Mg2 structure (GGA-PBE, the Alexandria database).

## Properties
**Density**: 5.9 g/cm³
**SG**: C2/m (12)

a b c (Å): 5.9492 8.9969 9.1880
angles (deg): 60.69 76.29 61.06
Last column: nearest neighbours and their distance in Å.
Fractional coordinates of all 11 atoms:
La: 0.5000 0.0000 0.0000  4 Nd 3.31-3.39
Nd: 0.8519 0.3287 0.7681  2 Mg 3.34-3.50, 6 Nd 3.35-3.72
Nd: 0.5000 0.2115 0.5769  2 Mg 3.35, 1 La 3.39, 4 Nd 3.67-3.71
Nd: 0.8519 0.0967 0.2319  2 Mg 3.34-3.50, 6 Nd 3.35-3.72
Nd: 0.1481 0.9033 0.7681  2 Mg 3.34-3.50, 6 Nd 3.35-3.72
Nd: 0.5000 0.7885 0.4231  2 Mg 3.35, 1 La 3.39, 4 Nd 3.67-3.71
Nd: 0.1481 0.6713 0.2319  2 Mg 3.34-3.50, 6 Nd 3.35-3.72
Nd: 0.7076 0.5855 0.0000  1 Nd 3.05, 1 La 3.31
Nd: 0.2924 0.4145 0.0000  1 Nd 3.05, 1 La 3.31
Mg: 0.0000 0.6920 0.6160  8 Nd 3.34-3.50
Mg: 0.0000 0.3080 0.3840  8 Nd 3.34-3.50

=====

Most stable pick: model 1. Distance to second place: 102 meV/atom.